[1]
CsTaSb3 SCAN PBEsol geometry; space group = No. 221; E_tot = -216.151 eV/cell; D(E_F) = 3.07 states/eV/f.u.
1.0
5.413 0.000 0.000
0.000 5.413 0.000
0.000 0.000 5.413
Ta Cs Sb
1 1 3
direct
0.000 0.000 0.000 Ta
0.500 0.500 0.500 Cs
0.000 0.000 0.500 Sb
0.000 0.500 0.000 Sb
0.500 0.000 0.000 Sb

---

[2]
Cs2TaSbW SCAN PBEsol geometry; space group = No. 123; E_tot = -237.466 eV/cell; D(E_F) = 6.05 states/eV/f.u.
1.0
5.180 0.000 0.000
0.000 5.896 0.000
0.000 0.000 5.896
Ta Sb Cs W
1 1 2 1
direct
0.500 0.500 0.500 Ta
0.500 0.000 0.000 Sb
0.000 0.500 0.000 Cs
0.000 0.000 0.500 Cs
0.000 0.000 0.000 W

---

[3]
CsSbTe2 SCAN PBEsol geometry; space group = No. 122; E_tot = -302.791 eV/cell; D(E_F) = 0.17 states/eV/f.u.
1.0
7.771 0.185 0.295
-2.891 7.216 -0.295
-2.891 -3.403 6.370
Te Cs Sb
4 2 2
direct
0.576 0.375 0.451 Te
0.924 0.549 0.125 Te
0.076 0.201 0.625 Te
0.424 0.875 0.799 Te
0.000 0.000 0.000 Cs
0.500 0.750 0.250 Cs
0.500 0.250 0.750 Sb
0.000 0.500 0.500 Sb

---

[4]
CsTiSbTe2 SCAN PBEsol geometry; space group = No. 123; E_tot = -158.350 eV/cell; D(E_F) = 3.61 states/eV/f.u.
1.0
-0.186 -4.527 -3.868
4.981 2.034 -2.620
3.311 -3.316 3.721
Cs Ti Te Sb
1 1 2 1
direct
0.000 0.000 0.000 Cs
0.500 0.500 0.500 Ti
0.000 0.500 0.000 Te
0.000 0.000 0.500 Te
0.500 0.000 0.000 Sb

---

Copy entry 1 word for word.
CsTaSb3 SCAN PBEsol geometry; space group = No. 221; E_tot = -216.151 eV/cell; D(E_F) = 3.07 states/eV/f.u.
1.0
5.413 0.000 0.000
0.000 5.413 0.000
0.000 0.000 5.413
Ta Cs Sb
1 1 3
direct
0.000 0.000 0.000 Ta
0.500 0.500 0.500 Cs
0.000 0.000 0.500 Sb
0.000 0.500 0.000 Sb
0.500 0.000 0.000 Sb

---

Question: The lowest D(E_F) belongs to which entry?
Answer: CsSbTe2